! GGA-PBE AcTm3Mn, relaxed; values from VASP
! Space group: Pm-3m
! Energy of formation from the pure elements (eV/atom): 0.172
! Calculated total energy (Ry/atom): -0.380
! Total moment (μB/f.u.): 1.09
&SYSTEM
  ibrav = 0, nat = 5, ntyp = 3
/
ATOMIC_SPECIES
Ac 227.00 Ac.upf
Tm 168.93 Tm.upf
Mn 54.94 Mn.upf
CELL_PARAMETERS angstrom
5.3444 0.0000 0.0000
0.0000 5.3444 0.0000
0.0000 0.0000 5.3444
ATOMIC_POSITIONS angstrom
Ac 0.0000 0.0000 0.0000
Tm 0.0000 2.6722 2.6722
Tm 2.6722 0.0000 2.6722
Tm 2.6722 2.6722 0.0000
Mn 2.6722 2.6722 2.6722